# 1
A relaxed TaZn2Si crystal, computed with PBEsol.

Cell lengths 2.7375, 2.7375, 8.2722 Å; angles 90.00, 90.00, 101.57 degrees
Element x y z (fractional)
Ta: 0.0000 0.0000 0.0000
Zn: 0.0000 0.0000 0.4986
Zn: 0.5000 0.5000 0.7400
Si: 0.5000 0.5000 0.2406

Values from the calculation:
- Energy: -5.29 eV per atom
- N(E_F): 2.048 states/eV/f.u.
- Energy relative to the elements, uncorrected: 0.075 eV per atom
- Crystal system: orthorhombic

=====

# 2
A relaxed TcPdCl3 crystal, computed with PBEsol.

Cell lengths 4.7681, 4.7681, 4.7681 Å; angles 90.00, 90.00, 90.00 degrees
Element x y z (fractional)
Tc: 0.0000 0.0000 0.0000
Pd: 0.5000 0.5000 0.5000
Cl: 0.0000 0.5000 0.5000
Cl: 0.5000 0.0000 0.5000
Cl: 0.5000 0.5000 0.0000

Values from the calculation:
- Energy: -4.11 eV per atom
- N(E_F): 4.063 states/eV/f.u.
- Energy relative to the elements, uncorrected: 0.541 eV per atom
- Crystal system: cubic

=====

# 3
A relaxed K2FeW crystal, computed with PBEsol.

Cell lengths 6.4310, 6.4310, 2.6598 Å; angles 90.00, 90.00, 131.61 degrees
Element x y z (fractional)
K: 0.0000 0.5000 0.0000
K: 0.5000 0.0000 0.0000
Fe: 0.0000 0.0000 0.5000
W: 0.5000 0.5000 0.5000

Values from the calculation:
- Energy: -4.59 eV per atom
- E_form: 38.60 kcal/mol of atoms
- N(E_F): 4.831 states/eV/f.u.
- Distance to the lowest polymorph of the same formula: 716.1 meV per atom
- Crystal system: orthorhombic

=====

# 4
A relaxed LaAsO4 crystal, computed with PBEsol.

Cell lengths 6.1597, 6.1597, 6.1597 Å; angles 106.43, 106.43, 115.75 degrees
Element x y z (fractional)
La: 0.3750 0.6250 0.7500
La: 0.6250 0.3750 0.2500
As: 0.1250 0.8750 0.2500
As: 0.8750 0.1250 0.7500
O: 0.1368 0.7081 0.4287
O: 0.2206 0.2919 0.9287
O: 0.2919 0.2206 0.4287
O: 0.2919 0.8632 0.0713
O: 0.7081 0.1368 0.9287
O: 0.7081 0.7794 0.5713
O: 0.7794 0.7081 0.0713
O: 0.8632 0.2919 0.5713

Values from the calculation:
- Energy: -7.62 eV per atom
- N(E_F): 0.000 states/eV/f.u.
- Energy relative to the elements, uncorrected: -2.376 eV per atom
- Crystal system: tetragonal

=====

# 5
A relaxed KHfIr2 crystal, computed with PBEsol.

Cell lengths 4.6538, 4.6538, 4.6538 Å; angles 60.00, 60.00, 60.00 degrees
Element x y z (fractional)
K: 0.0000 0.0000 0.0000
Hf: 0.5000 0.5000 0.5000
Ir: 0.2500 0.2500 0.2500
Ir: 0.7500 0.7500 0.7500

Values from the calculation:
- Energy: -7.45 eV per atom
- E_form: 8.64 kcal/mol of atoms
- N(E_F): 1.928 states/eV/f.u.
- Crystal system: cubic

=====

# 6
A relaxed Li2ScZnAu crystal, computed with PBEsol.

Cell lengths 5.2860, 5.2860, 4.9017 Å; angles 90.00, 90.00, 90.00 degrees
Element x y z (fractional)
Li: 0.0000 0.5000 0.0000
Li: 0.5000 0.0000 0.0000
Sc: 0.0000 0.0000 0.0000
Zn: 0.5000 0.5000 0.5000
Au: 0.0000 0.0000 0.5000

Values from the calculation:
- Energy: -2.34 eV per atom
- E_form: 19.99 kcal/mol of atoms
- N(E_F): 4.960 states/eV/f.u.
- Crystal system: tetragonal

=====

# 7
A relaxed BaCo2Pb crystal, computed with PBEsol.

Cell lengths 5.0165, 5.0165, 5.0165 Å; angles 60.00, 60.00, 60.00 degrees
Element x y z (fractional)
Ba: 0.0000 0.0000 0.0000
Co: 0.2500 0.2500 0.2500
Co: 0.5000 0.5000 0.5000
Pb: 0.7500 0.7500 0.7500

Values from the calculation:
- Energy: -4.49 eV per atom
- E_form: 21.22 kcal/mol of atoms
- N(E_F): 7.062 states/eV/f.u.
- Distance to the lowest polymorph of the same formula: 352.9 meV per atom
- Crystal system: cubic

=====

# 8
A relaxed Be2HgPb crystal, computed with PBEsol.

Cell lengths 3.4057, 3.4057, 6.4603 Å; angles 90.00, 90.00, 103.08 degrees
Element x y z (fractional)
Be: 0.0000 0.0000 0.1813
Be: 0.0000 0.0000 0.8187
Hg: 0.5000 0.5000 0.0000
Pb: 0.5000 0.5000 0.5000

Values from the calculation:
- Energy: -2.58 eV per atom
- E_form: 13.04 kcal/mol of atoms
- N(E_F): 1.446 states/eV/f.u.
- Distance to the lowest polymorph of the same formula: 218.7 meV per atom
- Crystal system: orthorhombic